A geometry-optimized KNdPO4 structure, computed with PBE.

Results
E_form (uncorrected), meV per atom: -2380
Space group: P2_1/m, No. 11

Structure (POSCAR):
```
KNdPO4
1.0
5.2877 0.0000 -0.2587
0.0000 6.0467 0.0000
-2.3498 0.0000 7.3074
K Nd P O
2 2 2 8
direct
0.6705 0.7500 0.9169 K
0.3295 0.2500 0.0831 K
0.8761 0.7500 0.4864 Nd
0.1239 0.2500 0.5136 Nd
0.2550 0.7500 0.2970 P
0.7450 0.2500 0.7030 P
0.9345 0.4579 0.7495 O
0.0655 0.9579 0.2505 O
0.0655 0.5421 0.2505 O
0.9345 0.0421 0.7495 O
0.4662 0.7500 0.1997 O
0.5338 0.2500 0.8003 O
0.4090 0.7500 0.5131 O
0.5910 0.2500 0.4869 O
```



A geometry-optimized Tl3Ga5Br12 structure, computed with PBE.

Results
E_form (uncorrected), meV per atom: -690
Space group: Ia-3d, No. 230

Structure (POSCAR):
```
Tl3Ga5Br12
1.0
-9.2599 3.2830 12.0950
7.3955 -13.4622 2.6243
10.4604 11.4115 -1.7809
Tl Ga Br
12 20 48
direct
0.7500 0.3750 0.1250 Tl
0.8750 0.7500 0.1250 Tl
0.3750 0.7500 0.6250 Tl
0.2500 0.1250 0.3750 Tl
0.8750 0.1250 0.2500 Tl
0.3750 0.6250 0.2500 Tl
0.6250 0.3750 0.7500 Tl
0.1250 0.8750 0.7500 Tl
0.7500 0.8750 0.6250 Tl
0.6250 0.2500 0.3750 Tl
0.1250 0.2500 0.8750 Tl
0.2500 0.6250 0.8750 Tl
0.1250 0.3750 0.2500 Ga
0.0000 0.5000 0.0000 Ga
0.0000 0.0000 0.0000 Ga
0.3750 0.2500 0.1250 Ga
0.5000 0.0000 0.5000 Ga
0.5000 0.5000 0.0000 Ga
0.1250 0.7500 0.3750 Ga
0.7500 0.1250 0.8750 Ga
0.7500 0.6250 0.3750 Ga
0.3750 0.1250 0.7500 Ga
0.6250 0.8750 0.2500 Ga
0.5000 0.5000 0.5000 Ga
0.5000 0.0000 0.0000 Ga
0.0000 0.0000 0.5000 Ga
0.2500 0.3750 0.6250 Ga
0.2500 0.8750 0.1250 Ga
0.0000 0.5000 0.5000 Ga
0.8750 0.2500 0.6250 Ga
0.6250 0.7500 0.8750 Ga
0.8750 0.6250 0.7500 Ga
0.7099 0.1173 0.0161 Br
0.3062 0.5161 0.3988 Br
0.9839 0.3827 0.2901 Br
0.5161 0.2099 0.1173 Br
0.5926 0.7099 0.6938 Br
0.9839 0.6012 0.1938 Br
0.3062 0.7901 0.4074 Br
0.1012 0.9074 0.1173 Br
0.6012 0.9839 0.6938 Br
0.7099 0.5926 0.1938 Br
0.7901 0.4839 0.3827 Br
0.8062 0.8988 0.0161 Br
0.1173 0.7099 0.5161 Br
0.3827 0.3988 0.0926 Br
0.0926 0.8988 0.3827 Br
0.4074 0.1173 0.6012 Br
0.0926 0.1938 0.2099 Br
0.4839 0.6938 0.1012 Br
0.8062 0.9074 0.2901 Br
0.1173 0.4074 0.1012 Br
0.3827 0.9839 0.7901 Br
0.6012 0.6173 0.4074 Br
0.8988 0.8062 0.5161 Br
0.7901 0.3062 0.9074 Br
0.3988 0.3827 0.5926 Br
0.1012 0.1938 0.4839 Br
0.2099 0.6938 0.0926 Br
0.1938 0.0926 0.7099 Br
0.6173 0.0161 0.2099 Br
0.8827 0.5926 0.8988 Br
0.5161 0.3062 0.8988 Br
0.5926 0.8827 0.3988 Br
0.9074 0.8062 0.7901 Br
0.9074 0.1012 0.6173 Br
0.8827 0.2901 0.4839 Br
0.1938 0.1012 0.9839 Br
0.6173 0.6012 0.9074 Br
0.3988 0.0161 0.3062 Br
0.2901 0.4074 0.8062 Br
0.2099 0.5161 0.6173 Br
0.8988 0.0926 0.8827 Br
0.6938 0.2099 0.5926 Br
0.4839 0.7901 0.8827 Br
0.0161 0.3988 0.8062 Br
0.4074 0.2901 0.3062 Br
0.0161 0.6173 0.7099 Br
0.6938 0.4839 0.6012 Br
0.2901 0.8827 0.9839 Br
```



A geometry-optimized SmHo2Br structure, computed with PBE.

Results
E_form (uncorrected), meV per atom: -517
Space group: R-3m, No. 166

Structure (POSCAR):
```
SmHo2Br
1.0
3.6437 0.0000 0.0000
1.8219 3.1556 0.0000
1.8219 1.0519 10.2113
Br Ho Sm
1 2 1
direct
0.0000 0.0000 0.0000 Br
0.7423 0.7423 0.7732 Ho
0.2577 0.2577 0.2268 Ho
0.5000 0.5000 0.5000 Sm
```



A geometry-optimized MnZnAg2 structure, computed with PBE.

Results
Space group: R-3m, No. 166
DFT formation energy, eV/atom: 0.1759

Structure (POSCAR):
```
MnZnAg2
1.0
-6.2673 6.7785 -1.1051
-7.6812 4.6376 -2.4373
-7.8716 4.9295 0.4325
Ag Mn Zn
2 1 1
direct
0.0003 0.0003 0.0003 Ag
0.4997 0.4997 0.4997 Ag
0.2500 0.2500 0.2500 Mn
0.7500 0.7500 0.7500 Zn
```



A geometry-optimized CdTeCl structure, computed with PBE.

Results
E_form (uncorrected), meV per atom: -159
Polymorph energy (0 for the lowest one), eV per atom: 0.327
Space group: F-43m, No. 216

Structure (POSCAR):
```
CdTeCl
1.0
-0.5863 -1.3339 4.7568
-3.5396 -3.2649 1.2497
1.2520 -4.5849 1.4702
Cl Te Cd
1 1 1
direct
0.0000 0.0000 0.0000 Cl
0.5000 0.5000 0.5000 Te
0.7500 0.7500 0.7500 Cd
```



A geometry-optimized Ho7Co2Sb2 structure, computed with PBE.

Results
E_form (uncorrected), meV per atom: -471
Space group: Imm2, No. 44

Structure (POSCAR):
```
Ho7Co2Sb2
1.0
3.6720 0.0000 0.0000
1.8360 9.3183 -0.0823
1.8360 4.3457 8.2433
Ho Co Sb
7 2 2
direct
0.8160 0.0877 0.2803 Ho
0.8474 0.4047 0.9004 Ho
0.5000 0.0327 0.9673 Ho
0.6307 0.4686 0.2699 Ho
0.3693 0.7301 0.5314 Ho
0.1840 0.7197 0.9123 Ho
0.1526 0.0996 0.5953 Ho
0.7391 0.8544 0.6674 Co
0.2609 0.3326 0.1456 Co
0.0000 0.7676 0.2324 Sb
0.5000 0.3563 0.6437 Sb
```



A geometry-optimized BeIn2Co structure, computed with PBE.

Results
Space group: P4/mmm, No. 123
DFT formation energy, eV/atom: 0.3533

Structure (POSCAR):
```
BeIn2Co
1.0
-3.1941 -1.0097 -2.6215
2.6235 0.3480 -3.3306
0.8154 -3.3406 0.2932
Be Co In
1 1 2
direct
0.5000 0.0000 0.5000 Be
0.0000 0.5000 0.5000 Co
0.0000 0.0000 0.0000 In
0.5000 0.5000 0.0000 In
```



A geometry-optimized NaV2CdFe structure, computed with PBE.

Results
Space group: P4/mmm, No. 123
DFT formation energy, eV/atom: 0.8824

Structure (POSCAR):
```
NaV2CdFe
1.0
-0.0278 -4.3331 -0.5666
0.9148 -0.6610 5.0099
-4.3001 -0.0738 0.7755
Na V Fe Cd
1 2 1 1
direct
0.0000 0.5000 0.0000 Na
0.0000 0.0000 0.5000 V
0.5000 0.0000 0.0000 V
0.0000 0.0000 0.0000 Fe
0.5000 0.5000 0.5000 Cd
```



no.,electronic total energy (eV/cell),total moment (Bohr magnetons per cell),DOS(E_F) (states/eV/f.u.)
1,-95.54,0.0,1.2
2,-224.45,0.0,4.1
3,-17.62,0.0,3.0
4,-15.44,3.9,2.8
5,-6.38,0.5,4.8
6,-59.68,0.0,10.6
7,-14.90,0.0,2.5
8,-24.52,2.8,6.3